The following is a DFT calculation (GGA-PBE) of an optimized crystal structure of PrTmSc2.

Unit cell a=11.1133 b=11.1133 c=11.1133 alpha=17.98 beta=17.98 gamma=17.98
Element x y z (fractional)
Pr (0.0000, 0.0000, 0.0000)
Tm (0.8339, 0.8339, 0.8339)
Sc (0.4194, 0.4194, 0.4194)
Sc (0.5816, 0.5816, 0.5816)

density of states at the Fermi level = 7.05 states/eV/f.u.
energy = -5.4224 eV per atom
energy of formation from the pure elements = 0.06 eV per atom
energy above the lowest structure with this stoichiometry = 0.1 meV/atom
space-group type = No. 160